! Cu2RuBr (PBE, optimized geometry); values from VASP
! E above lowest polymorph   358 meV/atom
! Formation energy (no corrections)   812 meV per atom
&SYSTEM
  ibrav = 0, nat = 4, ntyp = 3
/
ATOMIC_SPECIES
Br 79.90 Br.upf
Ru 101.07 Ru.upf
Cu 63.55 Cu.upf
ATOMIC_POSITIONS angstrom
Br -3.281 2.171 3.728
Ru -4.921 3.257 5.592
Cu 0.000 0.000 0.000
Cu -1.640 1.086 1.864
CELL_PARAMETERS angstrom
-0.413 3.206 3.023
-3.935 1.907 0.679
-2.213 -0.770 3.754

! ZrFeRe (PBE, optimized geometry); values from VASP
! Formation energy   0.019 eV per atom
! E above lowest polymorph   303 meV/atom
&SYSTEM
  ibrav = 0, nat = 3, ntyp = 3
/
ATOMIC_SPECIES
Re 186.21 Re.upf
Zr 91.22 Zr.upf
Fe 55.84 Fe.upf
ATOMIC_POSITIONS angstrom
Re -3.188 -6.136 -3.670
Zr -2.976 -3.455 -1.549
Fe -2.752 -0.617 0.696
CELL_PARAMETERS angstrom
-2.183 -3.787 -4.153
-1.256 -5.534 -2.037
-2.738 -0.443 0.834

! Ca11Zn4In9 (PBE, optimized geometry); values from VASP
! Formation energy   -0.396 eV per atom
&SYSTEM
  ibrav = 0, nat = 24, ntyp = 3
/
ATOMIC_SPECIES
In 114.82 In.upf
Ca 40.08 Ca.upf
Zn 65.41 Zn.upf
ATOMIC_POSITIONS angstrom
In 1.914 9.809 8.386
In 1.914 2.073 7.650
In 1.914 0.940 2.532
In 1.914 2.697 -0.130
In 1.914 6.253 4.128
In 1.914 4.658 9.356
In 1.914 7.849 -1.100
In 1.914 11.567 5.724
In 1.914 10.434 0.606
Ca 0.000 7.856 1.701
Ca 0.000 0.814 5.215
Ca 0.000 3.762 2.483
Ca 0.000 7.392 9.557
Ca 0.000 4.651 6.556
Ca 0.000 2.070 10.465
Ca 0.000 10.437 -2.209
Ca 0.000 8.745 5.773
Ca 0.000 11.692 3.042
Ca 0.000 5.115 -1.300
Ca 0.000 0.000 0.000
Zn 1.914 5.598 0.993
Zn 1.914 6.909 7.263
Zn 1.914 3.113 4.757
Zn 1.914 9.394 3.499
CELL_PARAMETERS angstrom
3.829 0.000 0.000
0.000 12.448 -5.256
0.000 0.058 13.512

! LiSm2Sn2Rh5 (PBE, optimized geometry); values from VASP
! Formation energy   -0.429 eV per atom
&SYSTEM
  ibrav = 0, nat = 20, ntyp = 4
/
ATOMIC_SPECIES
Rh 102.91 Rh.upf
Sn 118.71 Sn.upf
Sm 150.36 Sm.upf
Li 6.94 Li.upf
ATOMIC_POSITIONS angstrom
Rh -4.974 -1.153 7.839
Rh -2.607 -2.465 4.605
Rh -4.460 -0.176 5.069
Rh -3.120 -3.442 7.375
Rh -4.601 1.613 2.456
Rh -1.116 -6.437 7.725
Rh -6.172 -1.559 11.231
Rh -0.567 -4.415 3.160
Rh -6.464 2.818 4.719
Rh -1.408 -2.060 1.213
Sn -3.862 2.389 4.869
Sn -0.257 -1.826 3.579
Sn -0.963 -4.022 8.786
Sn -4.568 0.194 10.075
Sm 0.000 -3.696 6.059
Sm -2.957 -2.214 10.357
Sm -4.825 2.063 7.595
Sm -1.868 0.581 3.298
Li 0.000 0.000 0.000
Li -2.412 -0.816 6.827
CELL_PARAMETERS angstrom
-2.756 -1.986 -1.211
1.622 -6.844 7.532
-6.446 5.211 6.123

! TaMnAsAu2 (PBE, optimized geometry); values from VASP
! Formation energy   0.974 eV per atom
! E above lowest polymorph   0 meV/atom
&SYSTEM
  ibrav = 0, nat = 5, ntyp = 4
/
ATOMIC_SPECIES
Au 196.97 Au.upf
As 74.92 As.upf
Mn 54.94 Mn.upf
Ta 180.95 Ta.upf
ATOMIC_POSITIONS angstrom
Au -2.329 0.600 0.315
Au -0.596 -1.281 -1.972
As -3.218 -2.477 -0.402
Mn 0.000 0.000 0.000
Ta -0.293 -1.796 1.255
CELL_PARAMETERS angstrom
-1.192 -2.561 -3.943
-0.586 -3.592 2.510
-4.658 1.199 0.629

! PmYTh2 (PBE, optimized geometry); values from VASP
! Formation energy   0.156 eV per atom
! E above lowest polymorph   128 meV/atom
&SYSTEM
  ibrav = 0, nat = 4, ntyp = 3
/
ATOMIC_SPECIES
Th 232.04 Th.upf
Y 88.91 Y.upf
Pm 145.00 Pm.upf
ATOMIC_POSITIONS angstrom
Th 0.361 1.374 1.170
Th 1.077 4.102 3.492
Y -1.912 2.286 3.674
Pm -2.631 -0.453 1.343
CELL_PARAMETERS angstrom
-3.921 1.483 -0.533
-1.341 -2.388 3.219
1.438 5.476 4.662

! Dy7Tl3In (PBE, optimized geometry); values from VASP
! Formation energy   -0.098 eV per atom
&SYSTEM
  ibrav = 0, nat = 11, ntyp = 3
/
ATOMIC_SPECIES
Dy 162.50 Dy.upf
Tl 204.38 Tl.upf
In 114.82 In.upf
ATOMIC_POSITIONS angstrom
Dy -2.997 3.090 3.957
Dy -0.136 1.573 7.126
Dy 0.020 4.425 0.556
Dy -0.136 6.532 3.254
Dy 0.020 -0.534 4.427
Dy -0.174 4.899 6.274
Dy 0.058 1.099 1.408
Tl -2.997 5.525 2.056
Tl -2.997 0.655 5.858
Tl 2.939 -0.091 -0.117
In -0.058 2.999 3.841
CELL_PARAMETERS angstrom
5.878 -0.182 -0.233
-2.997 7.616 0.423
-2.997 -1.436 7.491

! DyThCo3 (PBE, optimized geometry); values from VASP
! Formation energy   -0.223 eV per atom
&SYSTEM
  ibrav = 0, nat = 10, ntyp = 3
/
ATOMIC_SPECIES
Co 58.93 Co.upf
Dy 162.50 Dy.upf
Th 232.04 Th.upf
ATOMIC_POSITIONS angstrom
Co -0.524 -4.495 -0.862
Co 6.211 -9.298 2.576
Co -1.952 -2.716 -1.359
Co 4.783 -7.519 2.078
Co 1.739 -4.187 -0.900
Co 2.520 -7.827 2.117
Dy 0.665 -5.517 1.471
Dy 3.594 -6.497 -0.254
Th 0.267 -1.895 0.506
Th 3.992 -10.118 0.710
CELL_PARAMETERS angstrom
-3.129 -2.355 0.563
0.072 -1.008 -3.812
7.315 -8.651 4.465

| no. | calculated total energy (eV/atom) |
| --- | --- |
| 1 | -3.9732 |
| 2 | -9.8009 |
| 3 | -2.5526 |
| 4 | -6.0402 |
| 5 | -5.4715 |
| 6 | -6.3571 |
| 7 | -3.9210 |
| 8 | -6.8905 |